Entry 1:
Density functional theory data (PBE) for an optimized crystal structure of Sr2Ac3PuN6.

a b c (Å): 6.5968 11.3007 6.5327
angles (deg): 90.00 109.55 90.00
Closest atoms and distances in Å follow each position.
Space group C2/m (No. 12)
Asymmetric unit:
Sr 0.0000 0.1652 0.0000 x4  6 N 2.76-2.79
Ac 0.0000 0.0000 0.5000 x2  6 N 2.68-2.72
Ac 0.0000 0.3386 0.5000 x4  4 N 2.51-2.64
Pu 0.0000 0.5000 0.0000 x2  4 N 2.22
N 0.2049 0.3638 0.2174 x8  1 Pu 2.22
N 0.2248 0.5000 0.7311 x4  3 Ac 2.51-2.72, 1 Pu 2.65, 2 Sr 2.78

Entry 2:
Density functional theory data (PBE) for an optimized crystal structure of Tb6PrEr2Tm.

E_form	1.2	eV per formula unit

a b c (Å): 9.1336 15.0228 9.4849
angles (deg): 90.00 96.32 90.00
Closest atoms and distances in Å follow each position.
Space group C2/c (No. 15)
Asymmetric unit:
Tb 0.0619 0.1842 0.4438 x8  7 Tb 3.41-3.73, 1 Er 3.51, 1 Pr 3.69
Tb 0.0984 0.3901 0.6172 x8  4 Tb 3.21-3.50, 3 Er 3.26-3.42, 2 Tm 3.41-3.51
Tb 0.2126 0.2257 0.8164 x8  3 Tb 3.21-3.55, 2 Er 3.40-3.57, 1 Tm 3.44, 1 Pr 3.57
Pr 0.0000 0.0276 0.7500 x4  4 Er 3.39-3.47, 4 Tb 3.57-3.69
Er 0.2458 0.4477 0.9520 x8  6 Tb 3.26-3.57, 2 Pr 3.39-3.47, 1 Tm 3.51
Tm 0.0000 0.4106 0.2500 x4  6 Tb 3.41-3.51, 2 Er 3.51

Entry 3:
Density functional theory data (PBE) for an optimized crystal structure of MgMn2Cr.

E_form	1.4	eV per formula unit

a b c (Å): 2.7775 2.7775 25.3303
angles (deg): 90.00 90.00 120.00
Closest atoms and distances in Å follow each position.
Space group R-3m (No. 166, hexagonal axes)
Asymmetric unit:
Mg 0.0000 0.0000 0.0000 x3  6 Mg 2.78, 6 Mn 2.86
Mn 0.0000 0.0000 0.2396 x6  3 Cr 2.45
Cr 0.0000 0.0000 0.5000 x3  6 Mn 2.45

Entry 4:
Density functional theory data (PBE) for an optimized crystal structure of In2AsAu.

relative energy among the computed polymorphs	0.114	eV per atom
E_form	0.0	eV per formula unit

a b c (Å): 10.5613 3.1866 6.1943
angles (deg): 90.00 116.36 90.00
Closest atoms and distances in Å follow each position.
Space group Cm (No. 8)
Asymmetric unit:
In 0.0000 0.0000 0.0000 x2  3 Au 2.84-2.94
In 0.1549 0.0000 0.6155 x2  3 As 2.88-3.12, 2 Au 2.93, 2 In 3.19
As 0.3734 0.0000 0.4582 x2  2 Au 2.75, 1 In 2.88
Au 0.2468 0.5000 0.0555 x2  2 As 2.75, 5 In 2.84-2.94

In order of appearance, D(E_F) = 10.714 57.437 15.125 3.879 states/eV per cell.
In order of appearance, uncorrected energy = -7.6299 -4.4966 -7.0314 -3.3432 eV per atom.
In order of appearance, V = 19.1 32.3 14.1 23.3 Å³/atom.